VASP calculation (PBE) on ZrTi2CrS6 after structural relaxation.

## Properties
E_tot = -7.086 eV/atom
density of states at the Fermi level = 0.609 states/eV per atom
formation energy from raw total energies = -1.214 eV/atom

Unit cell a=6.1064 b=6.1064 c=17.2529 alpha=90.00 beta=90.00 gamma=120.00
Space group R3 (No. 146, hexagonal axes)
Inequivalent atoms, fractional coordinates:
Zr: 0.0000 0.0000 0.0000
Ti: 0.0000 0.0000 0.1741
Ti: 0.0000 0.0000 0.6769
Cr: 0.0000 0.0000 0.5012
S: 0.0008 0.3316 0.7592
S: 0.0263 0.6809 0.2534


VASP calculation (PBE) on TlCrS2 after structural relaxation.

## Properties
E_tot = -5.631 eV/atom
density of states at the Fermi level = 0.015 states/eV per atom
formation energy from raw total energies = -0.570 eV/atom

Unit cell a=3.6153 b=3.6153 c=22.2236 alpha=90.00 beta=90.00 gamma=120.00
Space group R3m (No. 160, hexagonal axes)
Inequivalent atoms, fractional coordinates:
Tl: 0.0000 0.0000 0.0000
Cr: 0.0000 0.0000 0.8337
S: 0.0000 0.0000 0.2241
S: 0.0000 0.0000 0.4439


VASP calculation (PBE) on Tl3CrS after structural relaxation.

## Properties
E_tot = -3.686 eV/atom
excess energy over the best structure of this formula in the dataset = 0.0000 eV/atom
density of states at the Fermi level = 0.232 states/eV per atom
formation energy from raw total energies = 0.484 eV/atom

Unit cell a=5.336 b=5.336 c=5.336 alpha=90.00 beta=90.00 gamma=90.00
Space group Pm-3m (No. 221)
Inequivalent atoms, fractional coordinates:
Tl: 0.000 0.000 0.500
Cr: 0.000 0.000 0.000
S: 0.500 0.500 0.500


VASP calculation (PBE) on TlCrS3 after structural relaxation.

## Properties
E_tot = -4.975 eV/atom
excess energy over the best structure of this formula in the dataset = 0.0000 eV/atom
density of states at the Fermi level = 0.973 states/eV per atom
formation energy from raw total energies = -0.100 eV/atom

Unit cell a=4.658 b=4.658 c=4.658 alpha=90.00 beta=90.00 gamma=90.00
Space group Pm-3m (No. 221)
Inequivalent atoms, fractional coordinates:
Tl: 0.000 0.000 0.000
Cr: 0.500 0.500 0.500
S: 0.000 0.500 0.500


VASP calculation (PBE) on Tl2Cr3S6 after structural relaxation.

## Properties
E_tot = -5.910 eV/atom
density of states at the Fermi level = 0.476 states/eV per atom
formation energy from raw total energies = -0.604 eV/atom

Unit cell a=6.112 b=10.607 c=7.585 alpha=90.00 beta=105.85 gamma=90.00
Space group C2/m (No. 12)
Inequivalent atoms, fractional coordinates:
Tl: 0.000 0.165 0.000
Cr: 0.000 0.000 0.500
Cr: 0.000 0.330 0.500
S: 0.226 0.167 0.675
S: 0.226 0.500 0.674


VASP calculation (PBE) on TlCrS2 after structural relaxation.

## Properties
E_tot = -4.507 eV/atom
density of states at the Fermi level = 0.721 states/eV per atom
formation energy from raw total energies = 0.554 eV/atom

Unit cell a=6.500 b=6.500 c=6.500 alpha=90.00 beta=90.00 gamma=90.00
Space group Fm-3m (No. 225)
Inequivalent atoms, fractional coordinates:
Tl: 0.000 0.000 0.000
Cr: 0.000 0.000 0.500
S: 0.250 0.250 0.250